Entry 1:
VASP calculation (GGA-PBE) on an optimized crystal structure of AlCd2Au.

The structure belongs to space group I-42d (No. 122); the cell edges are 8.046, 8.046 and 5.482 Å and the angles 90.00°, 90.00° and 90.00°. The asymmetric unit holds Al at (0.000, 0.000, 0.000), Cd at (0.239, 0.250, 0.625) and Au at (0.000, 0.000, 0.500).

The calculation puts the formation energy at 0.37 eV/f.u. The value obtained for the mass density is 8.4 g/cm³. As for the electronic total energy: -2.1207 eV/atom.

---

Entry 2:
VASP calculation (GGA-PBE) on an optimized crystal structure of Al2CdAu.

The structure belongs to space group Cm (No. 8); the cell edges are 9.123, 3.391 and 4.831 Å and the angles 90.00°, 97.38° and 90.00°. The asymmetric unit holds Al at (0.000, 0.000, 0.000), Al at (0.249, 0.000, 0.744), Cd at (0.253, 0.500, 0.244) and Au at (0.009, 0.500, 0.553).

The calculation puts the formation energy at -0.28 eV/f.u. The value obtained for the mass density is 8.1 g/cm³. As for the electronic total energy: -2.9888 eV/atom.

---

Entry 3:
VASP calculation (GGA-PBE) on an optimized crystal structure of AlCdAu.

The structure belongs to space group P4/nmm (No. 129, origin choice 2); the cell edges are 4.396, 4.396 and 6.510 Å and the angles 90.00°, 90.00° and 90.00°. The asymmetric unit holds Al at (0.250, 0.750, 0.000), Cd at (0.250, 0.750, 0.500) and Au at (0.250, 0.250, 0.208).

The calculation puts the formation energy at -0.85 eV/f.u. The value obtained for the mass density is 8.9 g/cm³. As for the electronic total energy: -2.9288 eV/atom.

---

Entry 4:
VASP calculation (GGA-PBE) on an optimized crystal structure of AlCd2Au.

The structure belongs to space group R3m (No. 160, hexagonal axes); the cell edges are 3.1704, 3.1704 and 27.4943 Å and the angles 90.00°, 90.00° and 120.00°. The asymmetric unit holds Al at (0.0000, 0.0000, 0.0000), Cd at (0.0000, 0.0000, 0.2496), Cd at (0.0000, 0.0000, 0.4890) and Au at (0.0000, 0.0000, 0.7356).

The calculation puts the formation energy at -0.38 eV/f.u. The value obtained for the mass density is 9.3 g/cm³. As for the electronic total energy: -2.3065 eV/atom.

---

Entry 5:
VASP calculation (GGA-PBE) on an optimized crystal structure of AlCdAu3.

The structure belongs to space group Pm-3m (No. 221); the cell edges are 4.865, 4.865 and 4.865 Å and the angles 90.00°, 90.00° and 90.00°. The asymmetric unit holds Al at (0.000, 0.000, 0.000), Cd at (0.500, 0.500, 0.500) and Au at (0.000, 0.000, 0.500).

The calculation puts the formation energy at 0.91 eV/f.u. The value obtained for the mass density is 10.5 g/cm³. As for the electronic total energy: -2.7160 eV/atom. Its energy above the lowest structure with this stoichiometry is 39.9 kJ/mol of atoms.

---

Entry 6:
VASP calculation (GGA-PBE) on an optimized crystal structure of AlCd2Au.

The structure belongs to space group P4mm (No. 99); the cell edges are 3.144, 3.144 and 8.084 Å and the angles 90.00°, 90.00° and 90.00°. The asymmetric unit holds Al at (0.000, 0.000, 0.000), Cd at (0.000, 0.000, 0.450), Cd at (0.500, 0.500, 0.735) and Au at (0.500, 0.500, 0.188).

The calculation puts the formation energy at -0.31 eV/f.u. The value obtained for the mass density is 9.3 g/cm³. As for the electronic total energy: -2.2892 eV/atom.

---

Entry 7:
VASP calculation (GGA-PBE) on an optimized crystal structure of Al2CdAu.

The structure belongs to space group I-4m2 (No. 119); the cell edges are 4.165, 4.165 and 8.439 Å and the angles 90.00°, 90.00° and 90.00°. The asymmetric unit holds Al at (0.000, 0.000, 0.000), Al at (0.000, 0.500, 0.250), Cd at (0.000, 0.000, 0.500) and Au at (0.000, 0.500, 0.750).

The calculation puts the formation energy at -0.10 eV/f.u. The value obtained for the mass density is 8.2 g/cm³. As for the electronic total energy: -2.9446 eV/atom.

---

Entry 8:
VASP calculation (GGA-PBE) on an optimized crystal structure of AlCd2Au3.

The structure belongs to space group C2/c (No. 15); the cell edges are 12.405, 5.535 and 7.391 Å and the angles 90.00°, 107.31° and 90.00°. The asymmetric unit holds Al at (0.000, 0.203, 0.250), Cd at (0.186, 0.499, 0.593), Au at (0.000, 0.345, 0.750) and Au at (0.127, 0.001, 0.063).

The calculation puts the formation energy at -1.12 eV/f.u. The value obtained for the mass density is 11.6 g/cm³. As for the electronic total energy: -2.7544 eV/atom.